A relaxed structure of LiPmAsO. Source: OQMD via LeMat-Bulk, functional PBE.

energy relative to the lowest polymorph listed for this composition = 0.145 eV per atom
space-group type = Pmc2_1 (26)
volume = 18.616 Å³/atom

Lattice parameters (Å, degrees): 3.8487 6.7004 5.7752 90.00 90.00 90.00
Fractional positions:
Li (0.0000, 0.1780, 0.0000)
Li (0.0000, 0.8220, 0.5000)
Pm (0.5000, 0.2290, 0.5568)
Pm (0.5000, 0.7710, 0.0568)
As (0.0000, 0.4848, 0.2817)
As (0.0000, 0.5152, 0.7817)
O (0.5000, 0.0751, 0.9047)
O (0.5000, 0.9249, 0.4047)